First-principles (PBE) data for PmPPd2 after structural relaxation, as listed in Alexandria via LeMat-Bulk.

The structure belongs to space group Cmcm (No. 63); the cell edges are 4.195, 16.123 and 8.884 Å and the angles 90.00°, 90.00° and 90.00°. The distinct sites, in fractional coordinates, are Pm at (0.000, 0.000, 0.000), Pm at (0.000, 0.200, 0.250), P at (0.000, 0.361, 0.512), Pd at (0.000, 0.202, 0.576), Pd at (0.000, 0.396, 0.250) and Pd at (0.000, 0.435, 0.750).

For the total energy, the calculation gives -6.068 eV per atom.